Entry 1:
Entry from the Alexandria database: a geometry-optimized LiTb2GaO structure (PBE).

Structure (POSCAR):
```
LiTb2GaO
1.0
-1.743 -3.272 1.619
3.741 -0.549 2.917
-2.140 2.754 3.262
Li Tb Ga O
1 2 1 1
direct
0.500 0.000 0.000
0.000 0.000 0.500
0.000 0.500 0.000
0.500 0.500 0.500
0.000 0.000 0.000
```

Size of the total moment (μB/f.u.): 0.0
Formation energy (no corrections) (eV/atom): -1.471



Entry 2:
Entry from the Alexandria database: a geometry-optimized Li2GaTeO6 structure (PBE).

Structure (POSCAR):
```
Li2GaTeO6
1.0
3.894 0.000 0.000
0.000 5.530 0.000
0.000 0.000 5.530
Li Ga Te O
2 1 1 6
direct
0.912 0.500 0.000
0.912 0.000 0.500
0.660 0.000 0.000
0.683 0.500 0.500
0.728 0.255 0.255
0.728 0.255 0.745
0.195 0.500 0.500
0.173 0.000 0.000
0.728 0.745 0.745
0.728 0.745 0.255
```

Size of the total moment (μB/f.u.): 1.0
Formation energy (no corrections) (eV/atom): -1.247



Entry 3:
Entry from the Alexandria database: a geometry-optimized Li2GaTeO4 structure (PBE).

Structure (POSCAR):
```
Li2GaTeO4
1.0
4.819 0.030 -0.411
0.024 4.366 -0.040
-2.761 -2.216 5.020
Li Ga Te O
2 1 1 4
direct
0.477 0.995 0.959
0.239 0.236 0.480
0.996 0.495 0.977
0.729 0.631 0.462
0.617 0.642 0.761
0.890 0.369 0.185
0.387 0.871 0.244
0.052 0.149 0.707
```

Size of the total moment (μB/f.u.): 0.0
Formation energy (no corrections) (eV/atom): -1.440



Entry 4:
Entry from the Alexandria database: a geometry-optimized LiGaTe2O6 structure (PBE).

Structure (POSCAR):
```
LiGaTe2O6
1.0
5.419 0.626 0.650
2.420 8.692 -1.958
2.420 -2.279 8.613
Li Ga Te O
2 2 4 12
direct
0.250 0.800 0.200
0.750 0.200 0.800
0.250 0.195 0.805
0.750 0.805 0.195
0.385 0.767 0.542
0.115 0.458 0.233
0.615 0.233 0.458
0.885 0.542 0.767
0.145 0.020 0.755
0.355 0.245 0.980
0.855 0.980 0.245
0.645 0.755 0.020
0.392 0.849 0.377
0.108 0.623 0.151
0.608 0.151 0.623
0.892 0.377 0.849
0.259 0.525 0.725
0.241 0.275 0.475
0.741 0.475 0.275
0.759 0.725 0.525
```

Size of the total moment (μB/f.u.): 0.0
Formation energy (no corrections) (eV/atom): -1.393



Entry 5:
Entry from the Alexandria database: a geometry-optimized Li2TiGaO4 structure (PBE).

Structure (POSCAR):
```
Li2TiGaO4
1.0
4.086 0.002 0.000
-0.002 4.086 0.000
-2.042 -2.044 4.444
Li Ti Ga O
2 1 1 4
direct
0.250 0.750 0.500
0.000 0.000 0.000
0.500 0.500 0.000
0.750 0.250 0.500
0.981 0.481 0.961
0.519 0.019 0.039
0.734 0.734 0.468
0.266 0.266 0.532
```

Size of the total moment (μB/f.u.): 1.0
Formation energy (no corrections) (eV/atom): -2.211



Entry 6:
Entry from the Alexandria database: a geometry-optimized LiTi2GaO structure (PBE).

Structure (POSCAR):
```
LiTi2GaO
1.0
4.088 0.000 0.000
0.000 4.088 0.000
0.000 0.000 3.917
Li O Ga Ti
1 1 1 2
direct
0.000 0.000 0.500
0.000 0.000 0.000
0.500 0.500 0.500
0.000 0.500 0.000
0.500 0.000 0.000
```

Size of the total moment (μB/f.u.): 0.0
Formation energy (no corrections) (eV/atom): -1.273